1.
# Sc2MnTl

Sc2MnTl at its PBEsol-relaxed geometry (SCAN, the Alexandria database).

## Properties
The space-group type is Imm2 (44). Its raw total energy is -30.025 eV/atom. The formation enthalpy at 0 K is -0.2530 eV/atom.

a b c (Å): 5.7812 5.7812 5.7812
angles (deg): 146.23 131.21 60.65
Atoms (fractional coordinates):
Sc1 0.0000 0.0000 0.0000
Sc2 0.7171 0.2171 0.5000
Mn1 0.2285 0.7285 0.5000
Tl1 0.4506 0.4506 0.0000


2.
# ScMn2Tl

ScMn2Tl at its PBEsol-relaxed geometry (SCAN, the Alexandria database).

## Properties
The space-group type is R-3m (166). Its raw total energy is -30.625 eV/atom. The formation enthalpy at 0 K is 0.1517 eV/atom.

a b c (Å): 9.1440 9.1440 9.1440
angles (deg): 19.18 19.18 19.18
Atoms (fractional coordinates):
Sc1 0.0000 0.0000 0.0000
Mn1 0.2523 0.2523 0.2523
Mn2 0.7477 0.7477 0.7477
Tl1 0.5000 0.5000 0.5000


3.
# Sc4MnTl

Sc4MnTl at its PBEsol-relaxed geometry (SCAN, the Alexandria database).

## Properties
The space-group type is F-43m (216). Its raw total energy is -24.336 eV/atom. The formation enthalpy at 0 K is 0.2575 eV/atom.

a b c (Å): 5.6836 5.6836 5.6836
angles (deg): 60.00 60.00 60.00
Atoms (fractional coordinates):
Sc1 0.1243 0.1243 0.1243
Sc2 0.1243 0.1243 0.6271
Sc3 0.1243 0.6271 0.1243
Sc4 0.6271 0.1243 0.1243
Mn1 0.7500 0.7500 0.7500
Tl1 0.5000 0.5000 0.5000


4.
# Sc2MnTl

Sc2MnTl at its PBEsol-relaxed geometry (SCAN, the Alexandria database).

## Properties
The space-group type is P4/mmm (123). Its raw total energy is -30.026 eV/atom. The formation enthalpy at 0 K is -0.2541 eV/atom.

a b c (Å): 3.2486 3.2486 7.1183
angles (deg): 90.00 90.00 90.00
Atoms (fractional coordinates):
Sc1 0.0000 0.0000 0.2071
Sc2 0.0000 0.0000 0.7929
Mn1 0.5000 0.5000 0.0000
Tl1 0.5000 0.5000 0.5000


5.
# Sc2MnTl

Sc2MnTl at its PBEsol-relaxed geometry (SCAN, the Alexandria database).

## Properties
The space-group type is P4/mmm (123). Its raw total energy is -30.089 eV/atom. The formation enthalpy at 0 K is -0.3169 eV/atom.

a b c (Å): 4.4133 4.4133 4.0292
angles (deg): 90.00 90.00 90.00
Atoms (fractional coordinates):
Sc1 0.0000 0.5000 0.0000
Sc2 0.5000 0.0000 0.0000
Mn1 0.0000 0.0000 0.5000
Tl1 0.5000 0.5000 0.5000


6.
# Sc2MnTl

Sc2MnTl at its PBEsol-relaxed geometry (SCAN, the Alexandria database).

## Properties
The space-group type is Fm-3m (225). Its raw total energy is -30.070 eV/atom. The formation enthalpy at 0 K is -0.2978 eV/atom.

a b c (Å): 4.8083 4.8083 4.8083
angles (deg): 60.00 60.00 60.00
Atoms (fractional coordinates):
Sc1 0.2500 0.2500 0.2500
Sc2 0.7500 0.7500 0.7500
Mn1 0.0000 0.0000 0.0000
Tl1 0.5000 0.5000 0.5000


7.
# ScMn2Tl

ScMn2Tl at its PBEsol-relaxed geometry (SCAN, the Alexandria database).

## Properties
The space-group type is P4/mmm (123). Its raw total energy is -30.814 eV/atom. The formation enthalpy at 0 K is -0.0378 eV/atom.

a b c (Å): 4.1367 4.1367 3.8239
angles (deg): 90.00 90.00 90.00
Atoms (fractional coordinates):
Sc1 0.0000 0.0000 0.0000
Mn1 0.0000 0.5000 0.5000
Mn2 0.5000 0.0000 0.5000
Tl1 0.5000 0.5000 0.0000


8.
# Sc2MnTl

Sc2MnTl at its PBEsol-relaxed geometry (SCAN, the Alexandria database).

## Properties
The space-group type is P4mm (99). Its raw total energy is -29.908 eV/atom. The formation enthalpy at 0 K is -0.1360 eV/atom.

a b c (Å): 3.2458 3.2458 7.6793
angles (deg): 90.00 90.00 90.00
Atoms (fractional coordinates):
Sc1 0.0000 0.0000 0.0000
Sc2 0.5000 0.5000 0.3027
Mn1 0.0000 0.0000 0.5145
Tl1 0.5000 0.5000 0.7335


9.
# ScMnTlZn2

ScMnTlZn2 at its PBEsol-relaxed geometry (SCAN, the Alexandria database).

## Properties
The space-group type is P4/mmm (123). Its raw total energy is -25.485 eV/atom. The formation enthalpy at 0 K is 0.8908 eV/atom.

a b c (Å): 5.0086 5.0086 5.3760
angles (deg): 90.00 90.00 90.00
Atoms (fractional coordinates):
Sc1 0.0000 0.0000 0.0000
Mn1 0.5000 0.5000 0.5000
Tl1 0.0000 0.0000 0.5000
Zn1 0.0000 0.5000 0.0000
Zn2 0.5000 0.0000 0.0000


10.
# ScMn2W

ScMn2W at its PBEsol-relaxed geometry (SCAN, the Alexandria database).

## Properties
The space-group type is Pmm2 (25). Its raw total energy is -29.736 eV/atom. The formation enthalpy at 0 K is 0.3726 eV/atom.

a b c (Å): 2.6600 4.3195 4.9425
angles (deg): 90.00 90.00 90.00
Atoms (fractional coordinates):
Sc1 0.0000 0.0000 0.0000
Mn1 0.0000 0.0000 0.5057
Mn2 0.5000 0.5000 0.8075
W1 0.5000 0.5000 0.3152


11.
# ScMn2W2

ScMn2W2 at its PBEsol-relaxed geometry (SCAN, the Alexandria database).

## Properties
The space-group type is I4/mmm (139). Its raw total energy is -37.591 eV/atom. The formation enthalpy at 0 K is 0.4332 eV/atom.

a b c (Å): 5.8205 5.8205 5.8205
angles (deg): 139.64 139.64 58.40
Atoms (fractional coordinates):
Sc1 0.0000 0.0000 0.0000
Mn1 0.2500 0.7500 0.5000
Mn2 0.7500 0.2500 0.5000
W1 0.3728 0.3728 0.0000
W2 0.6272 0.6272 0.0000


12.
# ScMnW3

ScMnW3 at its PBEsol-relaxed geometry (SCAN, the Alexandria database).

## Properties
The space-group type is Pm-3m (221). Its raw total energy is -47.212 eV/atom. The formation enthalpy at 0 K is 1.0992 eV/atom.

a b c (Å): 4.4789 4.4789 4.4789
angles (deg): 90.00 90.00 90.00
Atoms (fractional coordinates):
Sc1 0.0000 0.0000 0.0000
Mn1 0.5000 0.5000 0.5000
W1 0.0000 0.5000 0.5000
W2 0.5000 0.0000 0.5000
W3 0.5000 0.5000 0.0000


13.
# Sc2MnZn

Sc2MnZn at its PBEsol-relaxed geometry (SCAN, the Alexandria database).

## Properties
The space-group type is Imm2 (44). Its raw total energy is -15.296 eV/atom. The formation enthalpy at 0 K is -0.2349 eV/atom.

a b c (Å): 5.6367 5.6367 5.6367
angles (deg): 147.69 131.97 59.08
Atoms (fractional coordinates):
Sc1 0.0000 0.0000 0.0000
Sc2 0.7084 0.2084 0.5000
Mn1 0.4522 0.4522 0.0000
Zn1 0.2521 0.7521 0.5000


14.
# ScMnZn3

ScMnZn3 at its PBEsol-relaxed geometry (SCAN, the Alexandria database).

## Properties
The space-group type is Pm-3m (221). Its raw total energy is -13.591 eV/atom. The formation enthalpy at 0 K is 1.0170 eV/atom.

a b c (Å): 4.9553 4.9553 4.9553
angles (deg): 90.00 90.00 90.00
Atoms (fractional coordinates):
Sc1 0.0000 0.0000 0.0000
Mn1 0.5000 0.5000 0.5000
Zn1 0.0000 0.0000 0.5000
Zn2 0.0000 0.5000 0.0000
Zn3 0.5000 0.0000 0.0000


15.
# ScMnZn2

ScMnZn2 at its PBEsol-relaxed geometry (SCAN, the Alexandria database).

## Properties
The space-group type is Cmmm (65). Its raw total energy is -15.016 eV/atom. The formation enthalpy at 0 K is -0.1355 eV/atom.

a b c (Å): 4.7113 4.7113 2.8910
angles (deg): 90.00 90.00 110.78
Atoms (fractional coordinates):
Sc1 0.0000 0.0000 0.0000
Mn1 0.5000 0.5000 0.0000
Zn1 0.0000 0.5000 0.5000
Zn2 0.5000 0.0000 0.5000


16.
# ScMn2Zn

ScMn2Zn at its PBEsol-relaxed geometry (SCAN, the Alexandria database).

## Properties
The space-group type is I-4m2 (119). Its raw total energy is -16.213 eV/atom. The formation enthalpy at 0 K is -0.1471 eV/atom.

a b c (Å): 4.8360 4.8360 4.8360
angles (deg): 134.06 134.06 67.00
Atoms (fractional coordinates):
Sc1 0.0000 0.0000 0.0000
Mn1 0.5000 0.5000 0.0000
Mn2 0.7500 0.2500 0.5000
Zn1 0.2500 0.7500 0.5000


17.
# ScMn2Zn

ScMn2Zn at its PBEsol-relaxed geometry (SCAN, the Alexandria database).

## Properties
The space-group type is R-3m (166). Its raw total energy is -15.980 eV/atom. The formation enthalpy at 0 K is 0.0861 eV/atom.

a b c (Å): 8.6997 8.6997 8.6997
angles (deg): 18.87 18.87 18.87
Atoms (fractional coordinates):
Sc1 0.0000 0.0000 0.0000
Mn1 0.2467 0.2467 0.2467
Mn2 0.7533 0.7533 0.7533
Zn1 0.5000 0.5000 0.5000


18.
# Sc2MnZn

Sc2MnZn at its PBEsol-relaxed geometry (SCAN, the Alexandria database).

## Properties
The space-group type is P4/mmm (123). Its raw total energy is -15.309 eV/atom. The formation enthalpy at 0 K is -0.2475 eV/atom.

a b c (Å): 3.1616 3.1616 6.7694
angles (deg): 90.00 90.00 90.00
Atoms (fractional coordinates):
Sc1 0.0000 0.0000 0.2318
Sc2 0.0000 0.0000 0.7682
Mn1 0.5000 0.5000 0.0000
Zn1 0.5000 0.5000 0.5000


19.
# ScMnZn2

ScMnZn2 at its PBEsol-relaxed geometry (SCAN, the Alexandria database).

## Properties
The space-group type is I-4m2 (119). Its raw total energy is -15.045 eV/atom. The formation enthalpy at 0 K is -0.1644 eV/atom.

a b c (Å): 4.7786 4.7786 4.7786
angles (deg): 131.16 131.16 71.56
Atoms (fractional coordinates):
Sc1 0.0000 0.0000 0.0000
Mn1 0.2500 0.7500 0.5000
Zn1 0.5000 0.5000 0.0000
Zn2 0.7500 0.2500 0.5000


20.
# Sc2MnZn

Sc2MnZn at its PBEsol-relaxed geometry (SCAN, the Alexandria database).

## Properties
The space-group type is P4mm (99). Its raw total energy is -15.231 eV/atom. The formation enthalpy at 0 K is -0.1702 eV/atom.

a b c (Å): 3.0849 3.0849 7.5203
angles (deg): 90.00 90.00 90.00
Atoms (fractional coordinates):
Sc1 0.0000 0.0000 0.0000
Sc2 0.5000 0.5000 0.3455
Mn1 0.5000 0.5000 0.7723
Zn1 0.0000 0.0000 0.5919


Total moment for every record listed, in sequence, given in μB/f.u.: 2.65; 6.56; 4.28; 2.46; 3.57; 3.33; 6.71; 3.99; 3.89; 3.66; 1.91; 0.00; 2.83; 3.86; 2.80; 6.30; 6.19; 2.57; 3.38; 2.56.